1.
A plane-wave DFT calculation with PBE was carried out for a relaxed KCrSe2 crystal.

Cell: 4.284 8.004 8.170 Å, 105.02 101.74 105.01°
Atoms (fractional coordinates):
K  0.000  0.000  0.000
K  0.049  0.730  0.453
Cr  0.366  0.511  0.947
Cr  0.852  0.378  0.824
Se  0.454  0.780  0.155
Se  0.551  0.551  0.706
Se  0.688  0.350  0.073
Se  0.802  0.109  0.636

## Properties
Volume in Å³ per cell: 250
Calculated density in g cm⁻³: 3.306
Calculated total energy in Ry per atom: -0.3682
SG: P1, No. 1
E_form (uncorrected) in eV per atom: -0.5869

***

2.
A plane-wave DFT calculation with PBE was carried out for a relaxed Na2In2P crystal.

Cell: 7.225 7.225 5.128 Å, 90.00 90.00 90.00°
Atoms (fractional coordinates):
Na  0.170  0.330  0.000
Na  0.330  0.830  0.000
Na  0.670  0.170  0.000
Na  0.830  0.670  0.000
In  0.144  0.644  0.500
In  0.356  0.144  0.500
In  0.644  0.856  0.500
In  0.856  0.356  0.500
P  0.000  0.000  0.500
P  0.500  0.500  0.500

## Properties
Volume in Å³ per cell: 268
Calculated density in g cm⁻³: 3.803
Energy relative to the elements in eV per atom: -0.031
Calculated total energy in Ry per atom: -0.2011
SG: P4/mbm, No. 127